DFT (PBE-GGA) results for a relaxed Nd3GaSn3 crystal.

Unit cell a=4.527 b=6.292 c=14.952 alpha=82.22 beta=81.29 gamma=68.92
Fractional coordinates of all 14 atoms:
Nd 0.513 0.352 0.622
Nd 0.487 0.648 0.378
Nd 0.269 0.229 0.232
Nd 0.731 0.771 0.768
Nd 0.393 0.290 0.923
Nd 0.607 0.710 0.077
Ga 0.773 0.083 0.371
Ga 0.227 0.917 0.629
Sn 0.856 0.748 0.539
Sn 0.144 0.252 0.461
Sn 0.120 0.837 0.923
Sn 0.880 0.163 0.077
Sn 0.997 0.779 0.226
Sn 0.003 0.221 0.774

DOS(E_F) in states/eV per cell: 10.14
SG: C2/m
ΔE_f in meV/atom: -707


DFT (PBE-GGA) results for a relaxed Zr4MoRh crystal.

Unit cell a=5.576 b=5.576 c=5.576 alpha=60.00 beta=60.00 gamma=60.00
Fractional coordinates of all 6 atoms:
Zr 0.875 0.375 0.375
Zr 0.375 0.375 0.875
Zr 0.375 0.875 0.375
Zr 0.375 0.375 0.375
Mo 0.750 0.750 0.750
Rh 0.000 0.000 0.000

DOS(E_F) in states/eV per cell: 11.59
SG: F-43m
ΔE_f in meV/atom: 581